VASP calculation (PBE with a Hubbard U) on a geometry-optimized Sc2MnSnO6 structure.

Lattice parameters (Å, degrees): 5.7638 5.7638 5.7638 55.93 55.93 55.93
Closest atoms and distances in Å follow each position.
Fractional positions:
Sc1 0.0000 0.0000 0.0000  6 O 2.07-2.23
Sc2 0.4983 0.4983 0.4983  6 O 2.09-2.22
Mn1 0.2157 0.2157 0.2157  6 O 2.15-2.35
Sn1 0.7061 0.7061 0.7061  6 O 2.07-2.16
O1 0.0996 0.4123 0.7937  1 Sn 2.07, 2 Sc 2.09-2.23
O2 0.3049 0.8895 0.6212  2 Sc 2.07-2.22, 1 Mn 2.15, 1 Sn 2.16
O3 0.4123 0.7937 0.0996  1 Sn 2.07, 2 Sc 2.09-2.23
O4 0.6212 0.3049 0.8895  2 Sc 2.07-2.22, 1 Mn 2.15, 1 Sn 2.16
O5 0.7937 0.0996 0.4123  1 Sn 2.07, 2 Sc 2.09-2.23
O6 0.8895 0.6212 0.3049  2 Sc 2.07-2.22, 1 Mn 2.15, 1 Sn 2.16

Summary:
**DFT total energy**: -7.9608 eV/atom
**Calculated volume**: 122.6 Å³ per cell